1.
First-principles (GGA-PBE) data for an optimized crystal structure of PdAu2Br, as listed in the Alexandria database.

Values from the calculation:
The calculation puts the distance to the lowest polymorph of the same formula at 59 meV per atom. The uncorrected formation energy is 0.37 eV/atom.

Lattice parameters (Å, degrees): 4.7702 4.7702 4.7702 60.00 60.00 60.00
Atoms (fractional coordinates):
Pd  0.0000  0.0000  0.0000
Au  0.2500  0.2500  0.2500
Au  0.7500  0.7500  0.7500
Br  0.5000  0.5000  0.5000

2.
First-principles (GGA-PBE) data for an optimized crystal structure of Pd2AuBr, as listed in the Alexandria database.

Values from the calculation:
The calculation puts the distance to the lowest polymorph of the same formula at 0 meV per atom. The uncorrected formation energy is 0.28 eV/atom.

Lattice parameters (Å, degrees): 4.6643 4.6643 4.6643 60.00 60.00 60.00
Atoms (fractional coordinates):
Pd  0.2500  0.2500  0.2500
Pd  0.7500  0.7500  0.7500
Au  0.0000  0.0000  0.0000
Br  0.5000  0.5000  0.5000

3.
First-principles (GGA-PBE) data for an optimized crystal structure of Pd2AuBr, as listed in the Alexandria database.

Values from the calculation:
The calculation puts the distance to the lowest polymorph of the same formula at 46 meV per atom. The uncorrected formation energy is 0.33 eV/atom.

Lattice parameters (Å, degrees): 5.9236 5.9236 5.9236 103.29 103.29 122.70
Atoms (fractional coordinates):
Pd  0.1160  0.6250  0.9910
Pd  0.3750  0.3660  0.4910
Pd  0.6340  0.1250  0.0090
Pd  0.8750  0.8840  0.5090
Au  0.2500  0.7500  0.5000
Au  0.5000  0.5000  0.0000
Br  0.0000  0.0000  0.0000
Br  0.7500  0.2500  0.5000

4.
First-principles (GGA-PBE) data for an optimized crystal structure of PdAu2Br, as listed in the Alexandria database.

Values from the calculation:
The calculation puts the distance to the lowest polymorph of the same formula at 0 meV per atom. The uncorrected formation energy is 0.31 eV/atom.

Lattice parameters (Å, degrees): 6.2049 6.2049 6.2049 100.69 100.69 128.99
Atoms (fractional coordinates):
Pd  0.0000  0.0000  0.0000
Pd  0.7500  0.2500  0.5000
Au  0.1037  0.6250  0.9787
Au  0.3750  0.3537  0.4787
Au  0.6463  0.1250  0.0213
Au  0.8750  0.8963  0.5213
Br  0.2500  0.7500  0.5000
Br  0.5000  0.5000  0.0000

no.,total energy (eV/cell),calculated volume (Å³ per atom)
1,-11.95,19.19
2,-14.20,17.94
3,-28.04,19.19
4,-24.38,20.95